Computed, not measured: a relaxed Sr3Al2WO9 crystal at the GGA+U level of DFT.

Computed properties:
Electronic total energy, eV per formula unit: -106.6
Mass density, Mg/m³: 6.1
Total moment, μB/atom: 0.000
DOS at the Fermi energy, states/eV per cell: 0.0

The structure in POSCAR format:
```
Sr3Al2WO9
1.0
5.492 0.000 0.000
-2.746 4.756 0.000
0.000 0.000 6.773
Sr Al W O
3 2 1 9
Cartesian
0.000 0.000 0.000
0.000 3.171 4.662
2.746 1.585 2.112
0.000 3.171 0.998
2.746 1.585 5.776
0.000 0.000 3.387
-1.373 2.378 0.000
0.000 1.594 2.261
-1.366 3.959 2.261
1.380 0.797 4.512
2.746 0.000 0.000
1.373 2.378 0.000
1.366 3.959 2.261
4.112 0.797 4.512
2.746 3.163 4.512
```